# Sm2Y8Mg GGA-PBE relaxed
data_Sm2Y8Mg
_cell_length_a 9.9486
_cell_length_b 9.9486
_cell_length_c 5.7289
_cell_angle_alpha 92.10
_cell_angle_beta 92.10
_cell_angle_gamma 40.66
_symmetry_space_group_name_H-M 'P 1'
_symmetry_Int_Tables_number 1
loop_
_symmetry_equiv_pos_as_xyz
'x,y,z'
loop_
_atom_site_label
_atom_site_type_symbol
_atom_site_fract_x
_atom_site_fract_y
_atom_site_fract_z
Sm1 Sm 0.2192 0.2192 0.2558
Sm2 Sm 0.7808 0.7808 0.7442
Y1 Y 0.0497 0.0497 0.2329
Y2 Y 0.1098 0.6373 0.2597
Y3 Y 0.3225 0.3225 0.7658
Y4 Y 0.3627 0.8902 0.7403
Y5 Y 0.6373 0.1098 0.2597
Y6 Y 0.6775 0.6775 0.2342
Y7 Y 0.8902 0.3627 0.7403
Y8 Y 0.9503 0.9503 0.7671
Mg1 Mg 0.5000 0.5000 0.0000
# DOS(E_F): 18.457 states/eV per cell
# E_tot: -61.21 eV/cell
# SG: C2/m, No. 12
# total moment: 0.001 Bohr magnetons per cell
# V: 33.56 A^3/atom
# ΔH_f (0 K): 147.9 kJ/mol of formula units
# energy relative to the lowest polymorph listed for this composition: 0.112 eV per atom

# SmYMg GGA-PBE relaxed
data_SmYMg
_cell_length_a 10.4303
_cell_length_b 5.3044
_cell_length_c 7.5123
_cell_angle_alpha 90.00
_cell_angle_beta 90.00
_cell_angle_gamma 90.00
_symmetry_space_group_name_H-M 'P 1'
_symmetry_Int_Tables_number 1
loop_
_symmetry_equiv_pos_as_xyz
'x,y,z'
loop_
_atom_site_label
_atom_site_type_symbol
_atom_site_fract_x
_atom_site_fract_y
_atom_site_fract_z
Sm1 Sm 0.1157 0.2500 0.0142
Sm2 Sm 0.3843 0.7500 0.5142
Sm3 Sm 0.6157 0.2500 0.4858
Sm4 Sm 0.8843 0.7500 0.9858
Y1 Y 0.1324 0.2500 0.5089
Y2 Y 0.3676 0.7500 0.0089
Y3 Y 0.6324 0.2500 0.9911
Y4 Y 0.8676 0.7500 0.4911
Mg1 Mg 0.1257 0.7500 0.2640
Mg2 Mg 0.3743 0.2500 0.7640
Mg3 Mg 0.6257 0.7500 0.2360
Mg4 Mg 0.8743 0.2500 0.7360
# DOS(E_F): 22.029 states/eV per cell
# E_tot: -46.42 eV/cell
# SG: Pnma, No. 62
# total moment: 0.000 Bohr magnetons per cell
# V: 34.64 A^3/atom
# ΔH_f (0 K): 113.2 kJ/mol of formula units
# energy relative to the lowest polymorph listed for this composition: 0.459 eV per atom

# Sm5YMg GGA-PBE relaxed
data_Sm5YMg
_cell_length_a 8.4821
_cell_length_b 8.4821
_cell_length_c 11.1016
_cell_angle_alpha 122.85
_cell_angle_beta 122.85
_cell_angle_gamma 45.39
_symmetry_space_group_name_H-M 'P 1'
_symmetry_Int_Tables_number 1
loop_
_symmetry_equiv_pos_as_xyz
'x,y,z'
loop_
_atom_site_label
_atom_site_type_symbol
_atom_site_fract_x
_atom_site_fract_y
_atom_site_fract_z
Sm1 Sm 0.0082 0.9918 0.7500
Sm2 Sm 0.0710 0.5598 0.8994
Sm3 Sm 0.1627 0.6726 0.4233
Sm4 Sm 0.3274 0.8373 0.0767
Sm5 Sm 0.4402 0.9290 0.6006
Sm6 Sm 0.5598 0.0710 0.3994
Sm7 Sm 0.6726 0.1627 0.9233
Sm8 Sm 0.8373 0.3274 0.5767
Sm9 Sm 0.9290 0.4402 0.1006
Sm10 Sm 0.9918 0.0082 0.2500
Y1 Y 0.4907 0.5093 0.7500
Y2 Y 0.5093 0.4907 0.2500
Mg1 Mg 0.0000 0.5000 0.5000
Mg2 Mg 0.5000 0.0000 0.0000
# DOS(E_F): 19.642 states/eV per cell
# E_tot: -60.99 eV/cell
# SG: C2/c, No. 15
# total moment: 0.000 Bohr magnetons per cell
# V: 32.85 A^3/atom
# ΔH_f (0 K): 112.0 kJ/mol of formula units
# energy relative to the lowest polymorph listed for this composition: 0.058 eV per atom

# Sm9YMg2 GGA-PBE relaxed
data_Sm9YMg2
_cell_length_a 5.0182
_cell_length_b 5.0182
_cell_length_c 15.1715
_cell_angle_alpha 90.00
_cell_angle_beta 90.00
_cell_angle_gamma 90.00
_symmetry_space_group_name_H-M 'P 1'
_symmetry_Int_Tables_number 1
loop_
_symmetry_equiv_pos_as_xyz
'x,y,z'
loop_
_atom_site_label
_atom_site_type_symbol
_atom_site_fract_x
_atom_site_fract_y
_atom_site_fract_z
Sm1 Sm 0.0000 0.0000 0.0000
Sm2 Sm 0.0000 0.0000 0.3365
Sm3 Sm 0.0000 0.0000 0.6635
Sm4 Sm 0.0000 0.5000 0.1706
Sm5 Sm 0.0000 0.5000 0.5000
Sm6 Sm 0.0000 0.5000 0.8294
Sm7 Sm 0.5000 0.0000 0.1706
Sm8 Sm 0.5000 0.0000 0.5000
Sm9 Sm 0.5000 0.0000 0.8294
Y1 Y 0.5000 0.5000 0.0000
Mg1 Mg 0.5000 0.5000 0.3373
Mg2 Mg 0.5000 0.5000 0.6627
# DOS(E_F): 19.222 states/eV per cell
# E_tot: -52.00 eV/cell
# SG: P4/mmm, No. 123
# total moment: 0.000 Bohr magnetons per cell
# V: 31.84 A^3/atom
# ΔH_f (0 K): 12.4 kJ/mol of formula units